Record 1
Ba2NdInSe5: relaxed, PBE.

CIF file:
```
data_Ba2NdInSe5
_cell_length_a 9.9350
_cell_length_b 9.9350
_cell_length_c 13.4966
_cell_angle_alpha 90.00
_cell_angle_beta 90.00
_cell_angle_gamma 154.61
_symmetry_space_group_name_H-M 'P 1'
_symmetry_Int_Tables_number 1
loop_
_symmetry_equiv_pos_as_xyz
'x,y,z'
loop_
_atom_site_label
_atom_site_fract_x
_atom_site_fract_y
_atom_site_fract_z
Se1 0.9518 0.0482 0.0494
Se2 0.0482 0.9518 0.5494
Se3 0.4960 0.5040 0.2658
Se4 0.3149 0.6851 0.8650
Se5 0.5040 0.4960 0.7658
Se6 0.3578 0.6422 0.5004
Se7 0.6851 0.3149 0.3650
Se8 0.6422 0.3578 0.0004
Se9 0.7088 0.2912 0.6629
Se10 0.2912 0.7088 0.1629
Ba1 0.8710 0.1290 0.3147
Ba2 0.1290 0.8710 0.8147
Ba3 0.1168 0.8832 0.1805
Ba4 0.8832 0.1168 0.6805
In1 0.5537 0.4463 0.4364
In2 0.4463 0.5537 0.9364
Nd1 0.2110 0.7890 0.5177
Nd2 0.7890 0.2110 0.0177
```

For the uncorrected formation energy, the calculation gives -1.628 eV per atom.



Record 2
HfMn10B2: relaxed, PBE.

CIF file:
```
data_HfMn10B2
_cell_length_a 5.9981
_cell_length_b 5.9981
_cell_length_c 7.7727
_cell_angle_alpha 90.00
_cell_angle_beta 90.00
_cell_angle_gamma 96.58
_symmetry_space_group_name_H-M 'P 1'
_symmetry_Int_Tables_number 1
loop_
_symmetry_equiv_pos_as_xyz
'x,y,z'
loop_
_atom_site_label
_atom_site_fract_x
_atom_site_fract_y
_atom_site_fract_z
B1 0.5000 0.0000 0.5000
B2 0.0000 0.5000 0.5000
B3 0.5000 0.0000 0.0000
B4 0.0000 0.5000 0.0000
Mn1 0.6191 0.3809 0.5621
Mn2 0.5271 0.7492 0.7500
Mn3 0.1163 0.3875 0.2500
Mn4 0.3809 0.6191 0.0621
Mn5 0.8837 0.6125 0.7500
Mn6 0.3809 0.6191 0.4379
Mn7 0.7779 0.7779 0.0000
Mn8 0.2221 0.2221 0.5000
Mn9 0.2508 0.4729 0.7500
Mn10 0.1739 0.8261 0.5925
Mn11 0.6125 0.8837 0.2500
Mn12 0.6191 0.3809 0.9379
Mn13 0.3875 0.1163 0.7500
Mn14 0.8261 0.1739 0.4075
Mn15 0.7492 0.5271 0.2500
Mn16 0.7779 0.7779 0.5000
Mn17 0.4729 0.2508 0.2500
Mn18 0.8261 0.1739 0.0925
Mn19 0.2221 0.2221 0.0000
Mn20 0.1739 0.8261 0.9075
Hf1 0.8838 0.1162 0.7500
Hf2 0.1162 0.8838 0.2500
```

The energy relative to the elements is -198 kJ/mol of formula units.



Record 3
ThZnBi2: relaxed, PBE.

CIF file:
```
data_ThZnBi2
_cell_length_a 4.5374
_cell_length_b 4.9156
_cell_length_c 4.9156
_cell_angle_alpha 90.00
_cell_angle_beta 90.00
_cell_angle_gamma 90.00
_symmetry_space_group_name_H-M 'P 1'
_symmetry_Int_Tables_number 1
loop_
_symmetry_equiv_pos_as_xyz
'x,y,z'
loop_
_atom_site_label
_atom_site_fract_x
_atom_site_fract_y
_atom_site_fract_z
Zn1 0.5000 0.0000 0.0000
Bi1 0.0000 0.0000 0.5000
Bi2 0.0000 0.5000 0.0000
Th1 0.5000 0.5000 0.5000
```

The energy relative to the elements is -117 kJ/mol of formula units.



Record 4
Ac2Ga4CoIr3: relaxed, PBE.

CIF file:
```
data_Ac2Ga4CoIr3
_cell_length_a 4.3530
_cell_length_b 4.3530
_cell_length_c 10.3920
_cell_angle_alpha 90.00
_cell_angle_beta 90.00
_cell_angle_gamma 90.00
_symmetry_space_group_name_H-M 'P 1'
_symmetry_Int_Tables_number 1
loop_
_symmetry_equiv_pos_as_xyz
'x,y,z'
loop_
_atom_site_label
_atom_site_fract_x
_atom_site_fract_y
_atom_site_fract_z
Ac1 0.5000 0.0000 0.2605
Ac2 0.0000 0.5000 0.7395
Ga1 0.5000 0.0000 0.6162
Ga2 0.0000 0.5000 0.3838
Ga3 0.5000 0.5000 0.0000
Ga4 0.0000 0.0000 0.0000
Ir1 0.0000 0.5000 0.1329
Ir2 0.0000 0.0000 0.5000
Ir3 0.5000 0.0000 0.8671
Co1 0.5000 0.5000 0.5000
```

The energy relative to the elements is -590 kJ/mol of formula units.



Record 5
CrTc2Ru: relaxed, PBE.

CIF file:
```
data_CrTc2Ru
_cell_length_a 2.6563
_cell_length_b 2.6563
_cell_length_c 8.4566
_cell_angle_alpha 90.00
_cell_angle_beta 90.00
_cell_angle_gamma 110.83
_symmetry_space_group_name_H-M 'P 1'
_symmetry_Int_Tables_number 1
loop_
_symmetry_equiv_pos_as_xyz
'x,y,z'
loop_
_atom_site_label
_atom_site_fract_x
_atom_site_fract_y
_atom_site_fract_z
Cr1 0.0000 0.0000 0.5005
Tc1 0.0000 0.0000 0.0000
Tc2 0.5000 0.5000 0.2631
Ru1 0.5000 0.5000 0.7364
```

For the energy above the most stable polymorph in this dataset, the calculation gives 16.4 kJ/mol of atoms. The energy relative to the elements is 107 kJ/mol of formula units.



Record 6
MgCrOs: relaxed, PBE.

CIF file:
```
data_MgCrOs
_cell_length_a 5.3490
_cell_length_b 5.3490
_cell_length_c 5.3490
_cell_angle_alpha 147.64
_cell_angle_beta 147.64
_cell_angle_gamma 46.41
_symmetry_space_group_name_H-M 'P 1'
_symmetry_Int_Tables_number 1
loop_
_symmetry_equiv_pos_as_xyz
'x,y,z'
loop_
_atom_site_label
_atom_site_fract_x
_atom_site_fract_y
_atom_site_fract_z
Mg1 0.3341 0.3341 0.0000
Cr1 0.0175 0.0175 0.0000
Os1 0.6484 0.6484 0.0000
```

For the energy above the most stable polymorph in this dataset, the calculation gives 8.6 kJ/mol of atoms. The energy relative to the elements is 35 kJ/mol of formula units.



Record 7
TaB3Sb: relaxed, PBE.

CIF file:
```
data_TaB3Sb
_cell_length_a 4.3046
_cell_length_b 4.3046
_cell_length_c 4.3046
_cell_angle_alpha 90.00
_cell_angle_beta 90.00
_cell_angle_gamma 90.00
_symmetry_space_group_name_H-M 'P 1'
_symmetry_Int_Tables_number 1
loop_
_symmetry_equiv_pos_as_xyz
'x,y,z'
loop_
_atom_site_label
_atom_site_fract_x
_atom_site_fract_y
_atom_site_fract_z
Ta1 0.5000 0.5000 0.5000
B1 0.0000 0.0000 0.5000
B2 0.5000 0.0000 0.0000
B3 0.0000 0.5000 0.0000
Sb1 0.0000 0.0000 0.0000
```

For the uncorrected formation energy, the calculation gives 2.406 eV per atom. For the energy above the most stable polymorph in this dataset, the calculation gives 96.5 kJ/mol of atoms.



Record 8
Ti12GeSb6: relaxed, PBE.

CIF file:
```
data_Ti12GeSb6
_cell_length_a 7.6014
_cell_length_b 7.6014
_cell_length_c 7.6014
_cell_angle_alpha 97.75
_cell_angle_beta 97.75
_cell_angle_gamma 97.75
_symmetry_space_group_name_H-M 'P 1'
_symmetry_Int_Tables_number 1
loop_
_symmetry_equiv_pos_as_xyz
'x,y,z'
loop_
_atom_site_label
_atom_site_fract_x
_atom_site_fract_y
_atom_site_fract_z
Sb1 0.4546 0.7227 0.8428
Sb2 0.7227 0.8428 0.4546
Sb3 0.1572 0.5454 0.2773
Sb4 0.2773 0.1572 0.5454
Sb5 0.5454 0.2773 0.1572
Sb6 0.8428 0.4546 0.7227
Ti1 0.6273 0.1760 0.4826
Ti2 0.0369 0.8932 0.3082
Ti3 0.8240 0.5174 0.3727
Ti4 0.5174 0.3727 0.8240
Ti5 0.9631 0.1068 0.6918
Ti6 0.4826 0.6273 0.1760
Ti7 0.1760 0.4826 0.6273
Ti8 0.3082 0.0369 0.8932
Ti9 0.6918 0.9631 0.1068
Ti10 0.8932 0.3082 0.0369
Ti11 0.1068 0.6918 0.9631
Ti12 0.3727 0.8240 0.5174
Ge1 0.0000 0.0000 0.0000
```

For the uncorrected formation energy, the calculation gives -0.087 eV per atom.



Record 9
Na8B13C3: relaxed, PBE.

CIF file:
```
data_Na8B13C3
_cell_length_a 9.1377
_cell_length_b 9.1377
_cell_length_c 5.2165
_cell_angle_alpha 90.00
_cell_angle_beta 90.00
_cell_angle_gamma 143.38
_symmetry_space_group_name_H-M 'P 1'
_symmetry_Int_Tables_number 1
loop_
_symmetry_equiv_pos_as_xyz
'x,y,z'
loop_
_atom_site_label
_atom_site_fract_x
_atom_site_fract_y
_atom_site_fract_z
C1 0.3750 0.6250 0.6631
C2 0.8750 0.6250 0.8364
C3 0.8750 0.1250 0.6631
Na1 0.9989 0.5011 0.5021
Na2 0.2506 0.7507 0.9974
Na3 0.4994 0.4993 0.9974
Na4 0.7493 0.2494 0.9974
Na5 0.7511 0.7489 0.5021
Na6 0.0007 0.0006 0.9974
Na7 0.2519 0.2481 0.5011
Na8 0.4981 0.0019 0.5011
B1 0.6253 0.8747 0.8218
B2 0.3750 0.1250 0.8308
B3 0.6271 0.3771 0.3470
B4 0.8750 0.6250 0.1364
B5 0.1229 0.8729 0.3470
B6 0.6383 0.3883 0.6745
B7 0.3750 0.1250 0.1536
B8 0.8750 0.1250 0.3662
B9 0.1245 0.3755 0.1508
B10 0.1117 0.8617 0.6745
B11 0.3750 0.6250 0.3662
B12 0.1247 0.3753 0.8218
B13 0.6255 0.8745 0.1508
```

For the energy above the most stable polymorph in this dataset, the calculation gives 2.2 kJ/mol of atoms. The energy relative to the elements is 473 kJ/mol of formula units.



Record 10
SrPbCl2: relaxed, PBE.

CIF file:
```
data_SrPbCl2
_cell_length_a 5.8824
_cell_length_b 4.3679
_cell_length_c 5.4210
_cell_angle_alpha 66.04
_cell_angle_beta 90.00
_cell_angle_gamma 90.00
_symmetry_space_group_name_H-M 'P 1'
_symmetry_Int_Tables_number 1
loop_
_symmetry_equiv_pos_as_xyz
'x,y,z'
loop_
_atom_site_label
_atom_site_fract_x
_atom_site_fract_y
_atom_site_fract_z
Pb1 0.0000 0.5305 0.5658
Cl1 0.0000 0.8230 0.9776
Cl2 0.5000 0.2232 0.1774
Sr1 0.5000 0.9233 0.7792
```

For the uncorrected formation energy, the calculation gives -1.274 eV per atom. For the energy above the most stable polymorph in this dataset, the calculation gives 19.0 kJ/mol of atoms.



Record 11
KCaHgF6: relaxed, PBE.

CIF file:
```
data_KCaHgF6
_cell_length_a 7.9456
_cell_length_b 8.4142
_cell_length_c 8.1667
_cell_angle_alpha 121.01
_cell_angle_beta 119.11
_cell_angle_gamma 90.00
_symmetry_space_group_name_H-M 'P 1'
_symmetry_Int_Tables_number 1
loop_
_symmetry_equiv_pos_as_xyz
'x,y,z'
loop_
_atom_site_label
_atom_site_fract_x
_atom_site_fract_y
_atom_site_fract_z
F1 0.1671 0.9171 0.3342
F2 0.4333 0.6833 0.8665
F3 0.5899 0.3307 0.7635
F4 0.1736 0.3307 0.7635
F5 0.5899 0.9327 0.7635
F6 0.5667 0.3167 0.1335
F7 0.1736 0.9327 0.7635
F8 0.8329 0.0829 0.6658
F9 0.4101 0.0673 0.2365
F10 0.4101 0.6693 0.2365
F11 0.8264 0.0673 0.2365
F12 0.8264 0.6693 0.2365
Hg1 0.5000 0.0000 0.0000
Hg2 0.5000 0.5000 0.0000
Ca1 0.0000 0.0000 0.5000
Ca2 0.5000 0.0000 0.5000
K1 0.9421 0.6921 0.8841
K2 0.0579 0.3079 0.1159
```

For the uncorrected formation energy, the calculation gives -2.376 eV per atom.



Record 12
Cr2TcP: relaxed, PBE.

CIF file:
```
data_Cr2TcP
_cell_length_a 2.7607
_cell_length_b 2.7607
_cell_length_c 6.4152
_cell_angle_alpha 90.00
_cell_angle_beta 90.00
_cell_angle_gamma 90.00
_symmetry_space_group_name_H-M 'P 1'
_symmetry_Int_Tables_number 1
loop_
_symmetry_equiv_pos_as_xyz
'x,y,z'
loop_
_atom_site_label
_atom_site_fract_x
_atom_site_fract_y
_atom_site_fract_z
Cr1 0.0000 0.0000 0.4687
Cr2 0.0000 0.0000 0.0313
P1 0.5000 0.5000 0.2500
Tc1 0.5000 0.5000 0.7500
```

The energy relative to the elements is -27 kJ/mol of formula units.